Compound: UTlAgSe3
Source: Alexandria via LeMat-Bulk
Functional: PBE
Structure: optimized geometry

formation energy (no corrections) = -746 meV/atom

a b c (Å): 8.9618 4.2020 9.6160
angles (deg): 90.00 106.68 90.00
Last column: nearest neighbours and their distance in Å.
Space group P2_1/m (No. 11)
One atom of each set of equivalent atoms:
U 0.1785 0.2500 0.1561 (multiplicity 2)  6 Se 2.80-2.87
Tl 0.2955 0.7500 0.7457 (multiplicity 2)  7 Se 3.40-3.53, 1 Ag 3.78
Ag 0.4218 0.7500 0.4031 (multiplicity 2)  4 Se 2.65-2.81, 2 Ag 2.89
Se 0.0414 0.2500 0.8471 (multiplicity 2)  3 U 2.87
Se 0.2562 0.2500 0.4594 (multiplicity 2)  3 Ag 2.71-2.81, 1 U 2.80
Se 0.3789 0.7500 0.1185 (multiplicity 2)  1 Ag 2.65, 2 U 2.85

=====

Compound: TmLuAlMo
Source: Alexandria via LeMat-Bulk
Functional: PBE
Structure: optimized geometry

formation energy from the elements = 0.035 eV/atom

a b c (Å): 6.9883 6.9883 6.9883
angles (deg): 90.00 90.00 90.00
Last column: nearest neighbours and their distance in Å.
Space group F-43m (No. 216)
One atom of each set of equivalent atoms:
Tm 0.0000 0.0000 0.0000 (multiplicity 4)  4 Mo 3.03, 4 Al 3.03
Lu 0.0000 0.0000 0.5000 (multiplicity 4)  4 Mo 3.03, 4 Al 3.03
Al 0.2500 0.2500 0.2500 (multiplicity 4)  4 Tm 3.03, 4 Lu 3.03
Mo 0.2500 0.2500 0.7500 (multiplicity 4)  4 Tm 3.03, 4 Lu 3.03

=====

Compound: ZrAl2Pt
Source: Alexandria via LeMat-Bulk
Functional: PBE
Structure: optimized geometry

formation energy from the elements = -0.475 eV/atom

a b c (Å): 5.6798 8.9541 2.8477
angles (deg): 90.00 107.40 90.00
Last column: nearest neighbours and their distance in Å.
Space group C2/m (No. 12)
One atom of each set of equivalent atoms:
Zr 0.0000 0.0000 0.0000 (multiplicity 2)  4 Al 2.80, 2 Pt 2.84, 2 Zr 2.85
Al 0.2500 0.2500 0.5000 (multiplicity 4)  2 Zr 2.80, 2 Pt 2.80, 4 Al 2.84-2.85
Pt 0.0000 0.5000 0.0000 (multiplicity 2)  4 Al 2.80, 2 Zr 2.84, 2 Pt 2.85

=====

Compound: K3CdHg3
Source: Alexandria via LeMat-Bulk
Functional: PBE
Structure: optimized geometry

distance to the lowest polymorph of the same formula = 0 meV/atom
formation energy from the elements = -0.225 eV/atom

a b c (Å): 12.6381 5.1415 16.9897
angles (deg): 90.00 110.33 90.00
Last column: nearest neighbours and their distance in Å.
Space group C2/m (No. 12)
One atom of each set of equivalent atoms:
K 0.0241 0.0000 0.3840 (multiplicity 4)  6 Hg 3.61-3.73, 4 Cd 3.67-3.82
K 0.1086 0.0000 0.9221 (multiplicity 4)  7 Hg 3.64-3.72
K 0.2502 0.0000 0.2346 (multiplicity 4)  6 Hg 3.59-3.70, 2 Cd 3.88
Cd 0.2390 0.5000 0.4027 (multiplicity 4)  4 Hg 3.02-3.08
Hg 0.0402 0.5000 0.2364 (multiplicity 4)  1 Hg 3.05, 1 Cd 3.06
Hg 0.1041 0.5000 0.0788 (multiplicity 4)  2 Hg 3.03-3.05
Hg 0.1322 0.5000 0.5401 (multiplicity 4)  3 Cd 3.02-3.08, 1 Hg 3.14

=====

Compound: Sr3Tl4In4
Source: Alexandria via LeMat-Bulk
Functional: PBE
Structure: optimized geometry

distance to the lowest polymorph of the same formula = 10 meV/atom
formation energy from the elements = -0.261 eV/atom

a b c (Å): 5.1184 7.9646 17.2648
angles (deg): 90.00 90.00 90.00
Last column: nearest neighbours and their distance in Å.
Space group Immm (No. 71)
One atom of each set of equivalent atoms:
Sr 0.0000 0.0000 0.0000 (multiplicity 2)  6 Tl 3.56-3.71
Sr 0.0000 0.5000 0.1264 (multiplicity 4)  6 In 3.58-3.93, 6 Tl 3.69-3.75
Tl 0.0000 0.0000 0.2146 (multiplicity 4)  6 In 3.12-3.18
Tl 0.0000 0.1902 0.5000 (multiplicity 4)  2 In 2.99, 1 Tl 3.03
In 0.0000 0.3028 0.3349 (multiplicity 8)  4 Tl 2.99-3.18, 1 In 3.14

=====

Compound: ScCo2Re
Source: Alexandria via LeMat-Bulk
Functional: PBE
Structure: optimized geometry

distance to the lowest polymorph of the same formula = 155 meV/atom
formation energy from the elements = 0.074 eV/atom

a b c (Å): 3.0601 3.0601 6.0356
angles (deg): 90.00 90.00 90.00
Last column: nearest neighbours and their distance in Å.
Space group P4mm (No. 99)
One atom of each set of equivalent atoms:
Sc 0.0000 0.0000 0.0000 (multiplicity 1)  5 Co 2.68-2.90, 4 Re 2.91
Co 0.0000 0.0000 0.4805 (multiplicity 1)  4 Re 2.47, 4 Co 2.53
Co 0.5000 0.5000 0.2618 (multiplicity 1)  1 Re 2.51, 4 Co 2.53, 4 Sc 2.68
Re 0.5000 0.5000 0.6779 (multiplicity 1)  5 Co 2.47-2.51